First-principles (PBE with a Hubbard U) data for crystalline Co2TeO at its relaxed geometry, as listed in OQMD.

POSCAR file:
```
Co2TeO
1.0
1.774 -6.303 0.000
1.774 6.303 0.000
0.000 0.000 5.976
Co Te O
4 2 2
Direct
0.038 0.962 0.500
0.336 0.664 0.352
0.664 0.336 0.852
0.962 0.038 0.000
0.335 0.665 0.809
0.665 0.335 0.309
0.085 0.915 0.810
0.915 0.085 0.310
```

Results
* ΔE to the lowest computed polymorph: 6 meV/atom